# BaTl3In

Crystalline BaTl3In at its relaxed geometry (PBE, the Alexandria database).

The structure in CIF format:
```
data_BaTl3In
_chemical_formula_sum 'Ba2 Tl6 In2'
_space_group_name_H-M_alt 'I 4 m m'
_space_group_IT_number 107
_space_group_name_Hall 'I 4 -2'
_cell_length_a 5.270
_cell_length_b 5.270
_cell_length_c 12.242
_cell_angle_alpha 90.00
_cell_angle_beta 90.00
_cell_angle_gamma 90.00
loop_
_atom_site_label
_atom_site_type_symbol
_atom_site_fract_x
_atom_site_fract_y
_atom_site_fract_z
Ba1 Ba 0.000 0.000 0.000
Tl1 Tl 0.000 0.000 0.389
Tl2 Tl 0.000 0.500 0.251
In1 In 0.000 0.000 0.627
```

Summary:
For the energy of formation from the pure elements, the calculation gives -247 meV/atom. The offset from the most stable computed form comes out at 0.00 kJ per mole of atoms.

=====

# Zr2RuO

Crystalline Zr2RuO at its relaxed geometry (PBE, the Alexandria database).

The structure in CIF format:
```
data_Zr2RuO
_chemical_formula_sum 'Zr8 Ru4 O4'
_space_group_name_H-M_alt 'I -4 2 d'
_space_group_IT_number 122
_space_group_name_Hall 'I -4 2bw'
_cell_length_a 6.180
_cell_length_b 6.180
_cell_length_c 7.454
_cell_angle_alpha 90.00
_cell_angle_beta 90.00
_cell_angle_gamma 90.00
loop_
_atom_site_label
_atom_site_type_symbol
_atom_site_fract_x
_atom_site_fract_y
_atom_site_fract_z
Zr1 Zr 0.185 0.250 0.125
Ru1 Ru 0.000 0.000 0.500
O1 O 0.000 0.000 0.000
```

Summary:
Its formation energy from raw total energies is -1.12 eV per atom.

=====

# LiLu2Pa

Crystalline LiLu2Pa at its relaxed geometry (PBE, the Alexandria database).

The structure in CIF format:
```
data_LiLu2Pa
_chemical_formula_sum 'Li1 Lu2 Pa1'
_space_group_name_H-M_alt 'P 4/m m m'
_space_group_IT_number 123
_space_group_name_Hall '-P 4 2'
_cell_length_a 3.364
_cell_length_b 3.364
_cell_length_c 9.212
_cell_angle_alpha 90.00
_cell_angle_beta 90.00
_cell_angle_gamma 90.00
loop_
_atom_site_label
_atom_site_type_symbol
_atom_site_fract_x
_atom_site_fract_y
_atom_site_fract_z
Li1 Li 0.000 0.000 0.000
Lu1 Lu 0.500 0.500 0.251
Pa1 Pa 0.000 0.000 0.500
```

Summary:
For the energy of formation from the pure elements, the calculation gives 133 meV/atom. The offset from the most stable computed form comes out at 0.00 kJ per mole of atoms.

=====

no.,DOS(E_F) (states/eV/cell)
1,2.82
2,4.93
3,5.37